The following is a PBE calculation of a relaxed structure of SnF4, from the Alexandria database. Values from VASP.

Properties
Its raw formation energy is -2243.4 meV/atom. The calculation puts the total magnetization at 0.00 μB per cell. The calculation puts the density at 4.7 Mg/m³.

```
&SYSTEM
  ibrav = 0, nat = 5, ntyp = 2
/
ATOMIC_SPECIES
Sn 118.71 Sn.upf
F 19.00 F.upf
CELL_PARAMETERS angstrom
2.512 -2.513 0.000
2.512 2.513 0.000
-0.844 0.000 5.404
ATOMIC_POSITIONS crystal
Sn 0.000 0.000 0.000
F 0.047 0.544 0.219
F 0.456 0.953 0.781
F 0.544 0.047 0.219
F 0.953 0.456 0.781
```